An optimized crystal structure of TlCr5O8. Source: Alexandria via LeMat-Bulk, functional PBE with a Hubbard U.

abc: 7.821 7.821 7.609
angles: 106.36 106.36 22.28
Positions (direct):
Tl 0.000 0.000 0.000
Cr 0.159 0.159 0.457
Cr 0.204 0.204 0.832
Cr 0.500 0.500 0.500
Cr 0.796 0.796 0.168
Cr 0.841 0.841 0.543
O 0.081 0.081 0.628
O 0.266 0.266 0.353
O 0.323 0.323 0.026
O 0.416 0.416 0.666
O 0.584 0.584 0.334
O 0.677 0.677 0.974
O 0.734 0.734 0.647
O 0.919 0.919 0.372

Computed properties:
As for the uncorrected energy: -104.26 eV/cell. For the mass density, the calculation gives 5.820 g/cm³.